DFT (GGA-PBE) results for a relaxed BaZrAl crystal.

Output
Energy relative to the lowest polymorph listed for this composition   469 meV per atom
Calculated density   4.3 g/cm3
Energy of formation   601.6 meV/atom

a b c (Å): 5.2030 5.2030 5.2030
angles (deg): 60.00 60.00 60.00
Last column: nearest neighbours and their distance in Å.
Atoms (fractional coordinates):
1 Ba 0.0000 0.0000 0.0000  4 Al 3.19
2 Zr 0.5000 0.5000 0.5000  4 Al 3.19
3 Al 0.7500 0.7500 0.7500  4 Zr 3.19, 4 Ba 3.19